## Al2Sb (PBE)

Data for a relaxed structure of Al2Sb.

Cell lengths 5.7445, 6.6854, 4.1558 Å; angles 90.00, 90.00, 90.00 degrees
Fractional positions:
1 Al 0.1894 0.1073 0.0000
2 Al 0.3106 0.6073 0.5000
3 Al 0.6894 0.3927 0.5000
4 Al 0.8106 0.8927 0.0000
5 Sb 0.0000 0.5000 0.0000
6 Sb 0.5000 0.0000 0.5000

Results
- ρ: 3.66 g/cm3
- Crystal system: orthorhombic
- DOS at the Fermi energy: 0.3906 states/eV/atom
- Uncorrected formation energy: 271 meV per atom
- SG: Pnnm, No. 58
- Magnetization: 0.00 μB/cell
- V: 26.60 Å³/atom